1.
Compound: CaIn2Hg
Source: the Alexandria database
Functional: PBEsol
Structure: optimized geometry

Structure (POSCAR):
```
CaIn2Hg
1.0
1.802 1.040 9.393
-1.802 1.040 9.393
0.000 -2.080 9.393
Ca In Hg
1 2 1
direct
0.000 0.000 0.000
0.243 0.243 0.243
0.757 0.757 0.757
0.500 0.500 0.500
```

Calculated values
SG: R-3m (166)
DFT formation energy: -0.145 eV/atom
D(E_F): 2.190 states/eV per cell
raw total energy: -2.3112 eV per atom


2.
Compound: CaInHg2
Source: the Alexandria database
Functional: PBEsol
Structure: optimized geometry

Structure (POSCAR):
```
CaInHg2
1.0
3.591 0.000 0.000
0.000 4.653 0.000
-1.739 0.000 5.902
Ca In Hg
1 1 2
direct
0.000 0.000 0.000
0.324 0.500 0.654
0.589 0.500 0.181
0.730 0.000 0.477
```

Calculated values
SG: Pm (6)
DFT formation energy: -0.356 eV/atom
D(E_F): 1.758 states/eV per cell
raw total energy: -1.9185 eV per atom


3.
Compound: Ca3InHg
Source: the Alexandria database
Functional: PBEsol
Structure: optimized geometry

Structure (POSCAR):
```
Ca3InHg
1.0
5.889 0.000 0.000
0.000 5.889 0.000
0.000 0.000 5.889
Ca In Hg
3 1 1
direct
0.000 0.000 0.500
0.000 0.500 0.000
0.500 0.000 0.000
0.000 0.000 0.000
0.500 0.500 0.500
```

Calculated values
SG: Pm-3m (221)
DFT formation energy: 0.018 eV/atom
D(E_F): 4.613 states/eV per cell
raw total energy: -1.9718 eV per atom


4.
Compound: CaIn2Hg
Source: the Alexandria database
Functional: PBEsol
Structure: optimized geometry

Structure (POSCAR):
```
CaIn2Hg
1.0
3.711 0.000 0.000
0.000 3.711 0.000
0.000 0.000 7.250
Ca In Hg
1 2 1
direct
0.000 0.000 0.000
0.000 0.000 0.480
0.500 0.500 0.716
0.500 0.500 0.248
```

Calculated values
SG: P4mm (99)
DFT formation energy: -0.335 eV/atom
D(E_F): 1.594 states/eV per cell
raw total energy: -2.5015 eV per atom


5.
Compound: CaIn2Hg
Source: the Alexandria database
Functional: PBEsol
Structure: optimized geometry

Structure (POSCAR):
```
CaIn2Hg
1.0
-2.128 2.305 5.102
2.128 -2.305 5.102
2.128 2.305 -5.102
Ca In Hg
1 2 1
direct
0.000 0.000 0.000
0.257 0.757 0.500
0.743 0.243 0.500
0.500 0.500 0.000
```

Calculated values
SG: Immm (71)
DFT formation energy: -0.338 eV/atom
D(E_F): 2.196 states/eV per cell
raw total energy: -2.5040 eV per atom


6.
Compound: Ca2InHg
Source: the Alexandria database
Functional: PBEsol
Structure: optimized geometry

Structure (POSCAR):
```
Ca2InHg
1.0
-2.302 2.302 5.068
2.302 -2.302 5.068
2.302 2.302 -5.068
Ca In Hg
2 1 1
direct
0.000 0.000 0.000
0.750 0.250 0.500
0.250 0.750 0.500
0.500 0.500 0.000
```

Calculated values
SG: I-4m2 (119)
DFT formation energy: -0.386 eV/atom
D(E_F): 3.625 states/eV per cell
raw total energy: -2.3402 eV per atom


7.
Compound: CaIn2Hg
Source: the Alexandria database
Functional: PBEsol
Structure: optimized geometry

Structure (POSCAR):
```
CaIn2Hg
1.0
0.000 3.654 3.654
3.654 0.000 3.654
3.654 3.654 0.000
Ca In Hg
1 2 1
direct
0.000 0.000 0.000
0.250 0.250 0.250
0.500 0.500 0.500
0.750 0.750 0.750
```

Calculated values
SG: F-43m (216)
DFT formation energy: -0.363 eV/atom
D(E_F): 1.210 states/eV per cell
raw total energy: -2.5296 eV per atom


8.
Compound: Ca2InHg
Source: the Alexandria database
Functional: PBEsol
Structure: optimized geometry

Structure (POSCAR):
```
Ca2InHg
1.0
5.867 -1.815 0.000
5.867 1.815 0.000
-1.817 0.000 5.085
Ca In Hg
2 1 1
direct
0.000 0.000 0.000
0.205 0.205 0.656
0.757 0.757 0.193
0.466 0.466 0.488
```

Calculated values
SG: Cm (8)
DFT formation energy: -0.467 eV/atom
D(E_F): 2.114 states/eV per cell
raw total energy: -2.4209 eV per atom


9.
Compound: CaInHg2
Source: the Alexandria database
Functional: PBEsol
Structure: optimized geometry

Structure (POSCAR):
```
CaInHg2
1.0
5.402 -2.122 0.000
5.402 2.122 0.000
-1.978 0.000 4.244
Ca In Hg
1 1 2
direct
0.000 0.000 0.000
0.759 0.759 0.262
0.246 0.246 0.748
0.503 0.503 0.503
```

Calculated values
SG: Cm (8)
DFT formation energy: -0.371 eV/atom
D(E_F): 2.080 states/eV per cell
raw total energy: -1.9331 eV per atom


10.
Compound: CaInHg2
Source: the Alexandria database
Functional: PBEsol
Structure: optimized geometry

Structure (POSCAR):
```
CaInHg2
1.0
4.417 -2.538 0.000
4.417 2.538 0.000
-2.909 0.000 4.160
Ca In Hg
1 1 2
direct
0.000 0.000 0.000
0.500 0.500 0.500
0.250 0.250 0.750
0.750 0.750 0.250
```

Calculated values
SG: C2/m (12)
DFT formation energy: -0.461 eV/atom
D(E_F): 1.750 states/eV per cell
raw total energy: -2.0236 eV per atom


11.
Compound: Ca2InHgP
Source: the Alexandria database
Functional: PBEsol
Structure: optimized geometry

Structure (POSCAR):
```
Ca2InHgP
1.0
5.353 0.000 0.000
0.000 5.353 0.000
0.000 0.000 5.066
Ca In Hg P
2 1 1 1
direct
0.000 0.500 0.000
0.500 0.000 0.000
0.000 0.000 0.500
0.500 0.500 0.500
0.000 0.000 0.000
```

Calculated values
SG: P4/mmm (123)
DFT formation energy: -0.391 eV/atom
D(E_F): 2.814 states/eV per cell
raw total energy: -3.1129 eV per atom


12.
Compound: CaHg2Ir
Source: the Alexandria database
Functional: PBEsol
Structure: optimized geometry

Structure (POSCAR):
```
CaHg2Ir
1.0
3.134 0.000 0.000
0.000 4.103 0.000
-0.017 0.000 6.069
Ca Hg Ir
1 2 1
direct
0.000 0.000 0.000
0.498 0.500 0.729
0.502 0.500 0.271
0.000 0.000 0.500
```

Calculated values
SG: P2/m (10)
DFT formation energy: -0.071 eV/atom
D(E_F): 1.285 states/eV per cell
raw total energy: -3.3432 eV per atom